(w)
# B2SeS

B2SeS at its PBEsol-relaxed geometry (SCAN, the Alexandria database).

Theoretical density   4517 kg/m3

Cell lengths 5.184, 5.184, 7.260 Å; angles 90.00, 90.00, 90.00 degrees
Space group I-42d (No. 122)
Symmetry-distinct sites (fractional):
B (0.219, 0.250, 0.125) (multiplicity 8)
Se (0.000, 0.000, 0.500) (multiplicity 4)
S (0.000, 0.000, 0.000) (multiplicity 4)

=====

(x)
# B2SeS

B2SeS at its PBEsol-relaxed geometry (SCAN, the Alexandria database).

Theoretical density   4716 kg/m3

Cell lengths 5.717, 5.717, 5.717 Å; angles 90.00, 90.00, 90.00 degrees
Space group Fm-3m (No. 225)
Symmetry-distinct sites (fractional):
B (0.250, 0.250, 0.250) (multiplicity 8)
Se (0.000, 0.000, 0.000) (multiplicity 4)
S (0.000, 0.000, 0.500) (multiplicity 4)

=====

Pick (w): it beats the second-best structure by 1285 meV per atom.

=====

(w)
# B2TeSe

B2TeSe at its PBEsol-relaxed geometry (SCAN, the Alexandria database).

Theoretical density   6054 kg/m3

Cell lengths 5.638, 5.638, 7.875 Å; angles 90.00, 90.00, 90.00 degrees
Space group I-42d (No. 122)
Symmetry-distinct sites (fractional):
B (0.220, 0.250, 0.125) (multiplicity 8)
Te (0.000, 0.000, 0.500) (multiplicity 4)
Se (0.000, 0.000, 0.000) (multiplicity 4)

=====

(x)
# B2TeSe

B2TeSe at its PBEsol-relaxed geometry (SCAN, the Alexandria database).

Theoretical density   6523 kg/m3

Cell lengths 6.148, 6.148, 6.148 Å; angles 90.00, 90.00, 90.00 degrees
Space group Fm-3m (No. 225)
Symmetry-distinct sites (fractional):
B (0.250, 0.250, 0.250) (multiplicity 8)
Te (0.000, 0.000, 0.000) (multiplicity 4)
Se (0.000, 0.000, 0.500) (multiplicity 4)

=====

Pick (w): it beats the second-best structure by 904 meV per atom.

=====

(w)
# Si3SnB

Si3SnB at its PBEsol-relaxed geometry (SCAN, the Alexandria database).

Theoretical density   4577 kg/m3

Cell lengths 4.265, 4.265, 4.265 Å; angles 90.00, 90.00, 90.00 degrees
Space group Pm-3m (No. 221)
Symmetry-distinct sites (fractional):
Si (0.000, 0.000, 0.500) (multiplicity 3)
Sn (0.500, 0.500, 0.500) (multiplicity 1)
B (0.000, 0.000, 0.000) (multiplicity 1)

=====

(x)
# Si3SnB

Si3SnB at its PBEsol-relaxed geometry (SCAN, the Alexandria database).

Theoretical density   2738 kg/m3

Cell lengths 5.062, 5.062, 5.062 Å; angles 90.00, 90.00, 90.00 degrees
Space group Pm-3m (No. 221)
Symmetry-distinct sites (fractional):
Si (0.000, 0.000, 0.500) (multiplicity 3)
Sn (0.000, 0.000, 0.000) (multiplicity 1)
B (0.500, 0.500, 0.500) (multiplicity 1)

=====

Pick (w): it beats the second-best structure by 1585 meV per atom.

=====

(w)
# TiBTe3

TiBTe3 at its PBEsol-relaxed geometry (SCAN, the Alexandria database).

Theoretical density   5103 kg/m3

Cell lengths 5.237, 5.237, 5.237 Å; angles 90.00, 90.00, 90.00 degrees
Space group Pm-3m (No. 221)
Symmetry-distinct sites (fractional):
Ti (0.000, 0.000, 0.000) (multiplicity 1)
B (0.500, 0.500, 0.500) (multiplicity 1)
Te (0.000, 0.000, 0.500) (multiplicity 3)

=====

(x)
# TiBTe3

TiBTe3 at its PBEsol-relaxed geometry (SCAN, the Alexandria database).

Theoretical density   6724 kg/m3

Cell lengths 4.777, 4.777, 4.777 Å; angles 90.00, 90.00, 90.00 degrees
Space group Pm-3m (No. 221)
Symmetry-distinct sites (fractional):
Ti (0.000, 0.000, 0.000) (multiplicity 1)
B (0.500, 0.500, 0.500) (multiplicity 1)
Te (0.000, 0.500, 0.500) (multiplicity 3)

=====

Pick (x): it beats the second-best structure by 220 meV per atom.